Density functional theory data (PBE+U) for a geometry-optimized AcSbMoO6 structure.

## Properties
**DFT total energy**: -6.8191 eV/atom

a b c (Å): 5.7578 5.7578 9.2394
angles (deg): 90.00 90.00 120.00
With the nearest neighbours (Å) after each atom.
Space group P-31c (No. 163)
One atom of each set of equivalent atoms:
1 Ac 0.3333 0.6667 0.2500 x2  6 O 2.51
2 Sb 0.3333 0.6667 0.7500 x2  6 O 2.31
3 Mo 0.0000 0.0000 0.0000 x2  6 O 1.97
4 O 0.0303 0.2999 0.6176 x12  1 Mo 1.97